Compound: CoPCl2O
Source: Alexandria via LeMat-Bulk
Functional: PBE with a Hubbard U
Structure: relaxed

Calculated values
* E above lowest polymorph: 0.342 eV/atom
* space group: P4/mmm

Geometry as POSCAR:
```
CoPCl2O
1.0
4.628 0.000 0.000
0.000 4.628 0.000
0.000 0.000 4.766
Cl P O Co
2 1 1 1
Cartesian
0.000 2.314 0.000 Cl
2.314 0.000 0.000 Cl
0.000 0.000 2.383 P
2.314 2.314 2.383 O
0.000 0.000 0.000 Co
```